Below is a geometry-optimized La4TlNi structure, with properties calculated at the PBE-GGA level.

Structure (POSCAR):
```
La4TlNi
1.0
6.003 0.000 0.000
0.000 7.213 0.000
-1.863 0.000 8.520
La Tl Ni
8 2 2
Cartesian
0.575 1.803 0.354 La
0.542 5.410 3.265 La
0.703 3.654 6.602 La
0.703 7.166 6.602 La
3.437 0.048 1.918 La
3.437 3.559 1.918 La
3.598 1.803 5.255 La
3.565 5.410 8.166 La
0.571 1.803 3.616 Tl
3.569 5.410 4.904 Tl
2.042 5.410 0.436 Ni
2.098 1.803 8.084 Ni
```

Properties
- Volume: 369 Å³/cell
- Polymorph energy (0 for the lowest one): 0 meV per atom
- D(E_F): 13.615 states/eV per cell



Below is a geometry-optimized CrFeOs2 structure, with properties calculated at the PBE-GGA level.

Structure (POSCAR):
```
CrFeOs2
1.0
2.657 0.000 0.000
0.000 3.666 0.000
0.000 0.000 5.332
Cr Fe Os
1 1 2
Cartesian
0.000 0.000 0.000 Cr
0.000 0.000 2.666 Fe
1.329 1.833 1.337 Os
1.329 1.833 3.995 Os
```

Properties
- Volume: 52 Å³/cell
- Electronic total energy: -40.05 eV/f.u.
- D(E_F): 4.830 states/eV per cell



Below is a geometry-optimized CeSbH2 structure, with properties calculated at the PBE-GGA level.

Structure (POSCAR):
```
CeSbH2
1.0
1.880 -5.850 0.000
1.880 5.850 0.000
0.000 0.000 6.266
Ce Sb H
2 2 4
Cartesian
1.880 3.347 4.699 Ce
1.880 -3.347 1.566 Ce
1.880 5.199 1.566 Sb
1.880 -5.199 4.699 Sb
1.880 2.238 0.356 H
1.880 2.238 2.776 H
1.880 -2.238 3.489 H
1.880 -2.238 5.909 H
```

Properties
- Volume: 138 Å³/cell
- Polymorph energy (0 for the lowest one): 20 meV per atom
- D(E_F): 7.804 states/eV per cell



Which of these has the lowest volume? CrFeOs2



volume of number 3 (CeSbH2)? 138 Å³/cell